(1)
Below is crystalline PmTlBiPb at its relaxed geometry, with properties calculated at the PBE-GGA level.

Its spin magnetization is 0.00 μB per cell. The calculation puts the volume at 125 Å³/f.u. As for the calculated formation energy: -0.9 eV per formula unit. The mass density comes out at 10.19 g/cm3. As for the symmetry: F-43m, No. 216.

Cell lengths 5.609, 5.609, 5.609 Å; angles 60.00, 60.00, 60.00 degrees
Fractional coordinates of all 4 atoms:
1 Bi 0.500 0.500 0.500
2 Pm 0.250 0.250 0.250
3 Tl 0.000 0.000 0.000
4 Pb 0.750 0.750 0.750

(2)
Below is crystalline PmTmBiPb at its relaxed geometry, with properties calculated at the PBE-GGA level.

Its spin magnetization is 0.00 μB per cell. As for the energy above the lowest structure with this stoichiometry: 0.1487 eV/atom. The calculation puts the volume at 119 Å³/f.u. As for the calculated formation energy: -1.8 eV per formula unit. The mass density comes out at 10.19 g/cm3. As for the symmetry: F-43m, No. 216.

Cell lengths 5.521, 5.521, 5.521 Å; angles 60.00, 60.00, 60.00 degrees
Fractional coordinates of all 4 atoms:
1 Pm 0.000 0.000 0.000
2 Bi 0.750 0.750 0.750
3 Tm 0.500 0.500 0.500
4 Pb 0.250 0.250 0.250

(3)
Below is crystalline PmTmBiPb at its relaxed geometry, with properties calculated at the PBE-GGA level.

Its spin magnetization is 0.00 μB per cell. As for the energy above the lowest structure with this stoichiometry: 0.0000 eV/atom. The calculation puts the volume at 128 Å³/f.u. As for the calculated formation energy: -2.4 eV per formula unit. The mass density comes out at 9.47 g/cm3. As for the symmetry: R3m, No. 160.

Cell lengths 4.352, 4.352, 8.202 Å; angles 74.62, 74.62, 60.00 degrees
Fractional coordinates of all 4 atoms:
1 Tm 0.196 0.196 0.412
2 Bi 0.941 0.941 0.177
3 Pm 0.692 0.692 0.923
4 Pb 0.447 0.447 0.658

(4)
Below is crystalline PmYBiPb at its relaxed geometry, with properties calculated at the PBE-GGA level.

Its spin magnetization is 0.00 μB per cell. As for the energy above the lowest structure with this stoichiometry: 0.1387 eV/atom. The calculation puts the volume at 121 Å³/f.u. As for the calculated formation energy: -2.0 eV per formula unit. The mass density comes out at 8.94 g/cm3. As for the symmetry: F-43m, No. 216.

Cell lengths 5.548, 5.548, 5.548 Å; angles 60.00, 60.00, 60.00 degrees
Fractional coordinates of all 4 atoms:
1 Y 0.750 0.750 0.750
2 Pm 0.250 0.250 0.250
3 Bi 0.500 0.500 0.500
4 Pb 0.000 0.000 0.000

(5)
Below is crystalline PmYBiPb at its relaxed geometry, with properties calculated at the PBE-GGA level.

Its spin magnetization is 0.00 μB per cell. As for the energy above the lowest structure with this stoichiometry: 0.0000 eV/atom. The calculation puts the volume at 131 Å³/f.u. As for the calculated formation energy: -2.6 eV per formula unit. The mass density comes out at 8.26 g/cm3. As for the symmetry: Pmmm, No. 47.

Cell lengths 4.516, 4.533, 6.381 Å; angles 90.03, 90.00, 90.00 degrees
Fractional coordinates of all 4 atoms:
1 Bi 0.500 0.392 0.093
2 Pm 0.000 0.892 0.092
3 Pb 0.000 0.891 0.592
4 Y 0.500 0.391 0.593

(6)
Below is crystalline PmZnBiPb at its relaxed geometry, with properties calculated at the PBE-GGA level.

Its spin magnetization is 0.00 μB per cell. The calculation puts the volume at 114 Å³/f.u. As for the calculated formation energy: -0.7 eV per formula unit. The mass density comes out at 9.12 g/cm3. As for the symmetry: F-43m, No. 216.

Cell lengths 5.445, 5.445, 5.445 Å; angles 60.00, 60.00, 60.00 degrees
Fractional coordinates of all 4 atoms:
1 Bi 0.500 0.500 0.500
2 Pm 0.750 0.750 0.750
3 Pb 0.250 0.250 0.250
4 Zn 0.000 0.000 0.000

| no. | total DFT energy (no corrections) (eV per atom) |
| --- | --- |
| 1 | -3.897 |
| 2 | -4.655 |
| 3 | -4.803 |
| 4 | -5.203 |
| 5 | -5.342 |
| 6 | -3.572 |